# 1
VASP calculation (PBE-GGA) on a relaxed structure of Ac4Cu2Ni5. Values from VASP.

Values from the calculation:
ΔE_f	-180	meV per atom
magnetization	0.0000	μB per atom

Structure (Quantum ESPRESSO input):
```
&SYSTEM
  ibrav = 0, nat = 11, ntyp = 3
/
ATOMIC_SPECIES
Ac 227.00 Ac.upf
Cu 63.55 Cu.upf
Ni 58.69 Ni.upf
ATOMIC_POSITIONS crystal
Ac 0.229 0.000 0.358
Ac 0.257 0.000 0.873
Ac 0.743 0.000 0.127
Ac 0.771 0.000 0.642
Cu 0.425 0.500 0.631
Cu 0.575 0.500 0.369
Ni 0.000 0.500 0.000
Ni 0.081 0.500 0.633
Ni 0.381 0.500 0.111
Ni 0.619 0.500 0.889
Ni 0.919 0.500 0.367
CELL_PARAMETERS angstrom
7.185 0.000 0.000
0.000 4.123 0.000
-0.369 0.000 8.155
```


# 2
VASP calculation (PBE-GGA) on a relaxed structure of Ac4CuNi. Values from VASP.

Values from the calculation:
ΔE_f	-60	meV per atom
magnetization	0.0000	μB per atom

Structure (Quantum ESPRESSO input):
```
&SYSTEM
  ibrav = 0, nat = 12, ntyp = 3
/
ATOMIC_SPECIES
Ac 227.00 Ac.upf
Cu 63.55 Cu.upf
Ni 58.69 Ni.upf
ATOMIC_POSITIONS crystal
Ac 0.021 0.250 0.041
Ac 0.074 0.750 0.491
Ac 0.473 0.045 0.759
Ac 0.473 0.455 0.759
Ac 0.527 0.545 0.241
Ac 0.527 0.955 0.241
Ac 0.926 0.250 0.509
Ac 0.979 0.750 0.959
Cu 0.397 0.250 0.399
Cu 0.603 0.750 0.601
Ni 0.462 0.750 0.898
Ni 0.538 0.250 0.102
CELL_PARAMETERS angstrom
5.814 0.000 0.000
0.000 9.083 0.000
-1.084 0.000 7.909
```


# 3
VASP calculation (PBE-GGA) on a relaxed structure of Ac3Cu2Ni7. Values from VASP.

Values from the calculation:
ΔE_f	-203	meV per atom
magnetization	0.0000	μB per atom

Structure (Quantum ESPRESSO input):
```
&SYSTEM
  ibrav = 0, nat = 12, ntyp = 3
/
ATOMIC_SPECIES
Ac 227.00 Ac.upf
Cu 63.55 Cu.upf
Ni 58.69 Ni.upf
ATOMIC_POSITIONS crystal
Ac 0.000 0.000 0.000
Ac 0.138 0.138 0.138
Ac 0.862 0.862 0.862
Cu 0.333 0.333 0.333
Cu 0.667 0.667 0.667
Ni 0.083 0.579 0.579
Ni 0.421 0.421 0.917
Ni 0.421 0.917 0.421
Ni 0.500 0.500 0.500
Ni 0.579 0.083 0.579
Ni 0.579 0.579 0.083
Ni 0.917 0.421 0.421
CELL_PARAMETERS angstrom
2.619 1.512 8.439
-2.619 1.512 8.439
0.000 -3.024 8.439
```


# 4
VASP calculation (PBE-GGA) on a relaxed structure of Ac4Cu5Ni2. Values from VASP.

Values from the calculation:
ΔE_f	-158	meV per atom
magnetization	0.0000	μB per atom

Structure (Quantum ESPRESSO input):
```
&SYSTEM
  ibrav = 0, nat = 11, ntyp = 3
/
ATOMIC_SPECIES
Ac 227.00 Ac.upf
Cu 63.55 Cu.upf
Ni 58.69 Ni.upf
ATOMIC_POSITIONS crystal
Ac 0.232 0.000 0.145
Ac 0.250 0.000 0.632
Ac 0.750 0.000 0.368
Ac 0.768 0.000 0.855
Cu 0.117 0.500 0.887
Cu 0.402 0.500 0.379
Cu 0.500 0.500 0.000
Cu 0.598 0.500 0.621
Cu 0.883 0.500 0.113
Ni 0.064 0.500 0.372
Ni 0.936 0.500 0.628
CELL_PARAMETERS angstrom
7.305 0.000 0.000
0.000 4.180 0.000
-0.467 0.000 8.456
```


# 5
VASP calculation (PBE-GGA) on a relaxed structure of Ac3Cu2Ni3. Values from VASP.

Values from the calculation:
ΔE_f	-227	meV per atom
magnetization	0.0000	μB per atom

Structure (Quantum ESPRESSO input):
```
&SYSTEM
  ibrav = 0, nat = 16, ntyp = 3
/
ATOMIC_SPECIES
Ac 227.00 Ac.upf
Cu 63.55 Cu.upf
Ni 58.69 Ni.upf
ATOMIC_POSITIONS crystal
Ac 0.077 0.923 0.750
Ac 0.364 0.636 0.591
Ac 0.364 0.636 0.909
Ac 0.636 0.364 0.091
Ac 0.636 0.364 0.409
Ac 0.923 0.077 0.250
Cu 0.344 0.656 0.115
Cu 0.344 0.656 0.385
Cu 0.656 0.344 0.615
Cu 0.656 0.344 0.885
Ni 0.080 0.920 0.552
Ni 0.080 0.920 0.948
Ni 0.216 0.784 0.250
Ni 0.784 0.216 0.750
Ni 0.920 0.080 0.052
Ni 0.920 0.080 0.448
CELL_PARAMETERS angstrom
2.146 -5.495 0.000
2.146 5.495 0.000
0.000 0.000 15.540
```


# 6
VASP calculation (PBE-GGA) on a relaxed structure of AcCuNi. Values from VASP.

Values from the calculation:
ΔE_f	18	meV per atom
E above lowest polymorph	0.80	eV per formula unit
magnetization	0.0000	μB per atom

Structure (Quantum ESPRESSO input):
```
&SYSTEM
  ibrav = 0, nat = 12, ntyp = 3
/
ATOMIC_SPECIES
Ac 227.00 Ac.upf
Cu 63.55 Cu.upf
Ni 58.69 Ni.upf
ATOMIC_POSITIONS crystal
Ac 0.000 0.000 0.000
Ac 0.000 0.500 0.500
Ac 0.500 0.000 0.500
Ac 0.500 0.500 0.000
Cu 0.000 0.000 0.500
Cu 0.000 0.500 0.000
Cu 0.500 0.000 0.000
Cu 0.500 0.500 0.500
Ni 0.250 0.250 0.250
Ni 0.250 0.750 0.750
Ni 0.750 0.250 0.750
Ni 0.750 0.750 0.250
CELL_PARAMETERS angstrom
6.566 0.000 0.000
0.000 6.566 0.000
0.000 0.000 6.566
```


The highest ΔE_f belongs to which entry? AcCuNi


Which of these has the lowest ΔE_f? Ac3Cu2Ni3


The lowest ΔE_f belongs to which entry? Ac3Cu2Ni3